{
  "formula": "TcSb2HI",
  "functional": "PBE",
  "state": "optimized geometry",
  "magmom_total_mub_per_cell": 2.46,
  "e_tot_ev_per_atom": -3.724,
  "de_polymorph_ev_per_atom": 0.154,
  "lattice": [[4.3902, 0.0000, 0.0000], [0.0000, 4.3902, 0.0000], [0.0000, 0.0000, 5.5157]],
  "species": ["Tc", "Sb", "Sb", "H", "I"],
  "frac_coords": [[0.0000, 0.0000, 0.0000], [0.0000, 0.5000, 0.5000], [0.5000, 0.0000, 0.5000], [0.5000, 0.5000, 0.5000], [0.5000, 0.5000, 0.0000]]
}